Entry 1:
The following is a DFT calculation (PBE-GGA) of an optimized crystal structure of CsO2.

```
CsO2
1.0
-2.531 -2.702 -2.713
2.336 -2.924 -2.658
-0.355 -6.768 4.147
Cs O
2 4
direct
0.183 0.817 0.750 Cs
0.817 0.183 0.250 Cs
0.443 0.155 0.959 O
0.845 0.557 0.541 O
0.557 0.845 0.041 O
0.155 0.443 0.459 O
```

Results
Uncorrected energy = -13.4 eV per formula unit
V = 73 Å³/f.u.
Distance to the lowest polymorph of the same formula = 3 meV per atom
Theoretical density = 3.8 g/cm3
M_tot = 1.00 μB per formula unit

---

Entry 2:
The following is a DFT calculation (PBE-GGA) of an optimized crystal structure of LaHfCo3.

```
LaHfCo3
1.0
4.629 0.000 0.000
0.000 4.629 0.000
0.000 0.000 4.629
Co Hf La
3 1 1
direct
0.000 0.500 0.000 Co
0.000 0.000 0.500 Co
0.500 0.000 0.000 Co
0.000 0.000 0.000 Hf
0.500 0.500 0.500 La
```

Results
Formation energy = 555 meV/atom
Uncorrected energy = -33.4 eV per formula unit
V = 99 Å³/f.u.
Distance to the lowest polymorph of the same formula = 0 meV per atom
Theoretical density = 8.3 g/cm3
M_tot = 0.00 μB per formula unit

---

Entry 3:
The following is a DFT calculation (PBE-GGA) of an optimized crystal structure of ScSiSN2.

```
ScSiSN2
1.0
3.996 0.000 0.000
0.000 3.996 0.000
0.000 0.000 5.335
Sc S Si N
1 1 1 2
direct
0.000 0.000 0.000 Sc
0.000 0.000 0.500 S
0.500 0.500 0.500 Si
0.000 0.500 0.000 N
0.500 0.000 0.000 N
```

Results
Uncorrected energy = -28.6 eV per formula unit
V = 85 Å³/f.u.
Distance to the lowest polymorph of the same formula = 1146 meV per atom
Theoretical density = 2.6 g/cm3
M_tot = 0.31 μB per formula unit

---

Entry 4:
The following is a DFT calculation (PBE-GGA) of an optimized crystal structure of ErTl2RuO6.

```
ErTl2RuO6
1.0
5.675 0.000 0.000
0.000 6.284 0.000
0.000 -3.142 5.442
Er Tl Ru O
1 2 1 6
direct
0.500 0.000 0.000 Er
0.013 0.333 0.667 Tl
0.987 0.667 0.333 Tl
0.000 0.000 0.000 Ru
0.793 0.142 0.283 O
0.793 0.142 0.858 O
0.793 0.717 0.858 O
0.207 0.858 0.142 O
0.207 0.283 0.142 O
0.207 0.858 0.717 O
```

Results
Uncorrected energy = -61.2 eV per formula unit
V = 194 Å³/f.u.
Theoretical density = 6.6 g/cm3
M_tot = 0.95 μB per formula unit

---

Entry 5:
The following is a DFT calculation (PBE-GGA) of an optimized crystal structure of ZnGeSb2Os.

```
ZnGeSb2Os
1.0
-1.720 4.751 1.356
-0.205 -1.364 4.522
4.936 1.586 0.703
Sb Ge Os Zn
2 1 1 1
direct
0.000 0.000 0.500 Sb
0.500 0.000 0.000 Sb
0.000 0.500 0.000 Ge
0.000 0.000 0.000 Os
0.500 0.500 0.500 Zn
```

Results
Uncorrected energy = -22.4 eV per formula unit
V = 129 Å³/f.u.
Theoretical density = 7.3 g/cm3
M_tot = 0.00 μB per formula unit

---

Entry 6:
The following is a DFT calculation (PBE-GGA) of an optimized crystal structure of CsAcAg2I6.

```
CsAcAg2I6
1.0
8.255 -0.001 -0.003
-4.128 7.148 0.001
-4.125 -2.380 9.240
Cs Ac Ag I
1 1 2 6
direct
0.997 0.498 0.480 Cs
0.997 0.998 0.980 Ac
0.453 0.726 0.164 Ag
0.540 0.270 0.796 Ag
0.539 0.934 0.770 I
0.455 0.062 0.191 I
0.813 0.750 0.190 I
0.142 0.391 0.190 I
0.851 0.604 0.770 I
0.180 0.245 0.770 I
```

Results
Uncorrected energy = -30.0 eV per formula unit
V = 545 Å³/f.u.
Theoretical density = 4.1 g/cm3
M_tot = 0.00 μB per formula unit

---

Entry 7:
The following is a DFT calculation (PBE-GGA) of an optimized crystal structure of HoLuSe.

```
HoLuSe
1.0
-0.976 3.258 1.687
-2.433 -2.915 -0.051
2.451 -2.141 5.553
Lu Ho Se
1 1 1
direct
0.333 0.667 0.615 Lu
0.000 0.000 0.049 Ho
0.667 0.333 0.336 Se
```

Results
Uncorrected energy = -15.8 eV per formula unit
V = 80 Å³/f.u.
Distance to the lowest polymorph of the same formula = 0 meV per atom
Theoretical density = 8.7 g/cm3
M_tot = 0.24 μB per formula unit

---

Entry 8:
The following is a DFT calculation (PBE-GGA) of an optimized crystal structure of KSrBiPb.

```
KSrBiPb
1.0
-5.371 -1.674 1.731
-0.689 -2.875 5.090
-2.588 2.672 4.563
Pb Sr K Bi
1 1 1 1
direct
0.500 0.500 0.500 Pb
0.250 0.250 0.250 Sr
0.750 0.750 0.750 K
0.000 0.000 0.000 Bi
```

Results
Formation energy = -348 meV/atom
Uncorrected energy = -11.8 eV per formula unit
V = 144 Å³/f.u.
Theoretical density = 6.3 g/cm3
M_tot = 0.00 μB per formula unit

---

Entry 9:
The following is a DFT calculation (PBE-GGA) of an optimized crystal structure of SrTaIn2.

```
SrTaIn2
1.0
5.688 -0.062 -0.013
-1.666 5.439 -0.013
0.006 0.008 3.119
In Sr Ta
2 1 1
direct
0.000 0.000 0.000 In
0.500 0.500 0.000 In
0.500 0.000 0.500 Sr
0.000 0.500 0.500 Ta
```

Results
Formation energy = 314 meV/atom
Uncorrected energy = -17.8 eV per formula unit
V = 96 Å³/f.u.
Theoretical density = 8.6 g/cm3
M_tot = 0.00 μB per formula unit

---

Entry 10:
The following is a DFT calculation (PBE-GGA) of an optimized crystal structure of KTcSe2.

```
KTcSe2
1.0
-0.789 4.351 9.041
1.361 6.317 7.716
-1.764 6.792 7.215
K Tc Se
1 1 2
direct
0.500 0.500 0.500 K
0.000 0.000 0.000 Tc
0.920 0.920 0.920 Se
0.080 0.080 0.080 Se
```

Results
Uncorrected energy = -17.2 eV per formula unit
V = 88 Å³/f.u.
Distance to the lowest polymorph of the same formula = 804 meV per atom
Theoretical density = 5.6 g/cm3
M_tot = 0.00 μB per formula unit

---

Entry 11:
The following is a DFT calculation (PBE-GGA) of an optimized crystal structure of Ba6Tl3Ga.

```
Ba6Tl3Ga
1.0
5.987 0.000 -0.028
0.000 10.407 0.000
0.071 0.000 13.946
Ba Tl Ga
12 6 2
direct
0.500 0.158 0.924 Ba
0.500 0.178 0.580 Ba
0.500 0.499 0.253 Ba
0.500 0.501 0.747 Ba
0.500 0.822 0.420 Ba
0.500 0.842 0.076 Ba
0.000 0.342 0.424 Ba
0.000 0.322 0.080 Ba
0.000 0.001 0.753 Ba
0.000 0.999 0.247 Ba
0.000 0.678 0.920 Ba
0.000 0.658 0.576 Ba
0.500 0.834 0.690 Tl
0.500 0.500 0.000 Tl
0.500 0.166 0.310 Tl
0.000 0.666 0.190 Tl
0.000 0.000 0.500 Tl
0.000 0.334 0.810 Tl
0.500 0.500 0.500 Ga
0.000 0.000 0.000 Ga
```

Results
Formation energy = -287 meV/atom
Uncorrected energy = -24.5 eV per formula unit
V = 434 Å³/f.u.
Distance to the lowest polymorph of the same formula = 18 meV per atom
Theoretical density = 5.8 g/cm3
M_tot = 0.00 μB per formula unit

---

Entry 12:
The following is a DFT calculation (PBE-GGA) of an optimized crystal structure of CaLaIrBr.

```
CaLaIrBr
1.0
4.152 0.000 0.000
-2.075 3.596 -0.001
-2.075 -1.199 7.818
Ca La Ir Br
1 1 1 1
direct
0.499 0.147 0.662 Ca
0.098 0.947 0.061 La
0.309 0.552 0.876 Ir
0.972 0.384 0.371 Br
```

Results
Uncorrected energy = -21.7 eV per formula unit
V = 117 Å³/f.u.
Theoretical density = 6.4 g/cm3
M_tot = 0.00 μB per formula unit